Here is an optimized crystal structure of TbDy8Th2 from Alexandria. Energies are from PBE.

Structure (CIF):
```
data_TbDy8Th2
_space_group_name_H-M_alt 'P 1'
_space_group_IT_number 1
_cell_length_a 6.6288
_cell_length_b 6.5855
_cell_length_c 8.9833
_cell_angle_alpha 111.50
_cell_angle_beta 99.07
_cell_angle_gamma 90.00
loop_
_space_group_symop_operation_xyz
'x,y,z'
loop_
_atom_site_label
_atom_site_fract_x
_atom_site_fract_y
_atom_site_fract_z
Tb1 0.0000 0.0000 0.0000
Dy1 0.5960 0.1734 0.8260
Dy2 0.4040 0.3474 0.1740
Dy3 0.8162 0.1995 0.3990
Dy4 0.1838 0.8005 0.6010
Dy5 0.5960 0.6526 0.8260
Dy6 0.4040 0.8266 0.1740
Dy7 0.0968 0.4096 0.8192
Dy8 0.9032 0.5904 0.1808
Th1 0.3348 0.2473 0.4946
Th2 0.6652 0.7527 0.5054
```

## Properties
- Energy of formation: 0.1840 eV per atom
- Volume: 32.69 Å³/atom
- Symmetry: No. 12
- Excess energy over the best structure of this formula in the dataset: 0 meV per atom
- Magnetic moment: 0.00 μB/f.u.

---

Here is an optimized crystal structure of LiGe2Te2 from Alexandria. Energies are from PBE.

Structure (CIF):
```
data_LiGe2Te2
_space_group_name_H-M_alt 'P 1'
_space_group_IT_number 1
_cell_length_a 5.6193
_cell_length_b 5.6193
_cell_length_c 5.8497
_cell_angle_alpha 61.29
_cell_angle_beta 61.29
_cell_angle_gamma 90.00
loop_
_space_group_symop_operation_xyz
'x,y,z'
loop_
_atom_site_label
_atom_site_fract_x
_atom_site_fract_y
_atom_site_fract_z
Ge1 0.3458 0.3458 0.3084
Ge2 0.6542 0.6542 0.6916
Te1 0.7500 0.2500 0.5000
Te2 0.2500 0.7500 0.5000
Li1 0.0000 0.0000 0.0000
```

## Properties
- Volume: 27.11 Å³/atom
- Symmetry: No. 139
- Excess energy over the best structure of this formula in the dataset: 0 meV per atom
- Magnetic moment: 0.00 μB/f.u.
- Energy relative to the elements, uncorrected: -115 meV/atom

---

Here is an optimized crystal structure of Ac2HoI from Alexandria. Energies are from PBE.

Structure (CIF):
```
data_Ac2HoI
_space_group_name_H-M_alt 'P 1'
_space_group_IT_number 1
_cell_length_a 3.9075
_cell_length_b 3.9075
_cell_length_c 10.1639
_cell_angle_alpha 90.00
_cell_angle_beta 90.00
_cell_angle_gamma 90.00
loop_
_space_group_symop_operation_xyz
'x,y,z'
loop_
_atom_site_label
_atom_site_fract_x
_atom_site_fract_y
_atom_site_fract_z
I1 0.5000 0.5000 0.5000
Ac1 0.0000 0.0000 0.7481
Ac2 0.0000 0.0000 0.2519
Ho1 0.5000 0.5000 0.0000
```

## Properties
- Volume: 38.80 Å³/atom
- Symmetry: No. 123
- Excess energy over the best structure of this formula in the dataset: 0 meV per atom
- Magnetic moment: 0.00 μB/f.u.
- Energy relative to the elements, uncorrected: -370 meV/atom

---

Copy entry 1 word for word.
Here is an optimized crystal structure of TbDy8Th2 from Alexandria. Energies are from PBE.

Structure (CIF):
```
data_TbDy8Th2
_space_group_name_H-M_alt 'P 1'
_space_group_IT_number 1
_cell_length_a 6.6288
_cell_length_b 6.5855
_cell_length_c 8.9833
_cell_angle_alpha 111.50
_cell_angle_beta 99.07
_cell_angle_gamma 90.00
loop_
_space_group_symop_operation_xyz
'x,y,z'
loop_
_atom_site_label
_atom_site_fract_x
_atom_site_fract_y
_atom_site_fract_z
Tb1 0.0000 0.0000 0.0000
Dy1 0.5960 0.1734 0.8260
Dy2 0.4040 0.3474 0.1740
Dy3 0.8162 0.1995 0.3990
Dy4 0.1838 0.8005 0.6010
Dy5 0.5960 0.6526 0.8260
Dy6 0.4040 0.8266 0.1740
Dy7 0.0968 0.4096 0.8192
Dy8 0.9032 0.5904 0.1808
Th1 0.3348 0.2473 0.4946
Th2 0.6652 0.7527 0.5054
```

## Properties
- Energy of formation: 0.1840 eV per atom
- Volume: 32.69 Å³/atom
- Symmetry: No. 12
- Excess energy over the best structure of this formula in the dataset: 0 meV per atom
- Magnetic moment: 0.00 μB/f.u.